[1]
This record from Alexandria via LeMat-Bulk describes an optimized crystal structure of La2TaCd. The functional is PBEsol.

Summary:
**Volume**: 100.0 Å³/f.u.
**Formation energy from the elements**: 234.1 meV per atom
**Electronic total energy**: -23.5 eV for the cell shown

Lattice parameters (Å, degrees): 3.107 3.107 10.357 90.00 90.00 90.00
Sites, in units of the cell vectors:
La 0.000 0.000 0.000
La 0.500 0.500 0.327
Ta 0.000 0.000 0.560
Cd 0.500 0.500 0.757

[2]
This record from Alexandria via LeMat-Bulk describes an optimized crystal structure of LaTa2Cd. The functional is PBEsol.

Summary:
**Volume**: 87.0 Å³/f.u.
**Formation energy from the elements**: 595.5 meV per atom
**Electronic total energy**: -29.3 eV for the cell shown

Lattice parameters (Å, degrees): 3.125 4.058 6.861 90.00 90.00 90.00
Sites, in units of the cell vectors:
La 0.000 0.000 0.000
Ta 0.500 0.500 0.301
Ta 0.500 0.500 0.699
Cd 0.000 0.000 0.500

[3]
This record from Alexandria via LeMat-Bulk describes an optimized crystal structure of LaTaCd2. The functional is PBEsol.

Summary:
**Volume**: 90.7 Å³/f.u.
**Formation energy from the elements**: 405.0 meV per atom
**Electronic total energy**: -18.7 eV for the cell shown
**Offset from the most stable computed form**: 308 meV per atom

Lattice parameters (Å, degrees): 5.589 5.589 5.589 133.34 133.34 68.12
Sites, in units of the cell vectors:
La 0.000 0.000 0.000
Ta 0.750 0.250 0.500
Cd 0.250 0.750 0.500
Cd 0.500 0.500 0.000

[4]
This record from Alexandria via LeMat-Bulk describes an optimized crystal structure of LaTaCd2. The functional is PBEsol.

Summary:
**Volume**: 92.1 Å³/f.u.
**Formation energy from the elements**: 354.7 meV per atom
**Electronic total energy**: -18.9 eV for the cell shown
**Offset from the most stable computed form**: 258 meV per atom

Lattice parameters (Å, degrees): 5.069 5.069 5.069 60.00 60.00 60.00
Sites, in units of the cell vectors:
La 0.000 0.000 0.000
Ta 0.500 0.500 0.500
Cd 0.250 0.250 0.250
Cd 0.750 0.750 0.750

[5]
This record from Alexandria via LeMat-Bulk describes an optimized crystal structure of LaTaCd. The functional is PBEsol.

Summary:
**Volume**: 85.7 Å³/f.u.
**Formation energy from the elements**: 1393.0 meV per atom
**Electronic total energy**: -14.9 eV for the cell shown
**Offset from the most stable computed form**: 957 meV per atom

Lattice parameters (Å, degrees): 4.950 4.950 4.950 60.00 60.00 60.00
Sites, in units of the cell vectors:
La 0.000 0.000 0.000
Ta 0.750 0.750 0.750
Cd 0.250 0.250 0.250

[6]
This record from Alexandria via LeMat-Bulk describes an optimized crystal structure of LaTaCd2. The functional is PBEsol.

Summary:
**Volume**: 89.2 Å³/f.u.
**Formation energy from the elements**: 247.8 meV per atom
**Electronic total energy**: -19.3 eV for the cell shown
**Offset from the most stable computed form**: 151 meV per atom

Lattice parameters (Å, degrees): 6.298 6.298 6.298 150.45 133.16 56.36
Sites, in units of the cell vectors:
La 0.000 0.000 0.000
Ta 0.500 0.500 0.000
Cd 0.276 0.776 0.500
Cd 0.724 0.224 0.500

[7]
This record from Alexandria via LeMat-Bulk describes an optimized crystal structure of LaTaCd2. The functional is PBEsol.

Summary:
**Volume**: 85.9 Å³/f.u.
**Formation energy from the elements**: 96.7 meV per atom
**Electronic total energy**: -19.9 eV for the cell shown
**Offset from the most stable computed form**: 0 meV per atom

Lattice parameters (Å, degrees): 3.031 3.031 9.355 90.00 90.00 90.00
Sites, in units of the cell vectors:
La 0.000 0.000 0.000
Ta 0.000 0.000 0.500
Cd 0.500 0.500 0.279
Cd 0.500 0.500 0.721

[8]
This record from Alexandria via LeMat-Bulk describes an optimized crystal structure of La2TaCd. The functional is PBEsol.

Summary:
**Volume**: 100.2 Å³/f.u.
**Formation energy from the elements**: 355.7 meV per atom
**Electronic total energy**: -23.0 eV for the cell shown

Lattice parameters (Å, degrees): 11.337 11.337 11.337 16.31 16.31 16.31
Sites, in units of the cell vectors:
La 0.000 0.000 0.000
La 0.232 0.232 0.232
Ta 0.744 0.744 0.744
Cd 0.480 0.480 0.480

The highest volume belongs to which entry? number 8